LaIn3Pt3 | PBE | relaxed

Results
Its density of states at the Fermi level is 0.41 states/eV per atom. The magnetization comes out at 0.00 Bohr magnetons per cell. As for the formation energy from the elements: -0.587 eV/atom.

Cell: 7.2998 7.2998 7.2998 Å, 70.11 70.11 70.11°
Last column: nearest neighbours and their distance in Å.
Atoms (fractional coordinates):
La (0.1723, 0.1723, 0.1723)  6 Pt 3.03-3.14
La (0.8277, 0.8277, 0.8277)  6 Pt 3.03-3.14
In (0.0809, 0.3669, 0.6892)  4 Pt 2.70-2.82
In (0.3108, 0.9191, 0.6331)  4 Pt 2.70-2.82
In (0.3669, 0.6892, 0.0809)  4 Pt 2.70-2.82
In (0.6331, 0.3108, 0.9191)  4 Pt 2.70-2.82
In (0.6892, 0.0809, 0.3669)  4 Pt 2.70-2.82
In (0.9191, 0.6331, 0.3108)  4 Pt 2.70-2.82
Pt (0.1515, 0.7418, 0.4545)  4 In 2.70-2.82, 2 Pt 2.98
Pt (0.2582, 0.5455, 0.8485)  4 In 2.70-2.82, 2 Pt 2.98
Pt (0.4545, 0.1515, 0.7418)  4 In 2.70-2.82, 2 Pt 2.98
Pt (0.5455, 0.8485, 0.2582)  4 In 2.70-2.82, 2 Pt 2.98
Pt (0.7418, 0.4545, 0.1515)  4 In 2.70-2.82, 2 Pt 2.98
Pt (0.8485, 0.2582, 0.5455)  4 In 2.70-2.82, 2 Pt 2.98

=====

BPtN2F | PBE | relaxed

Results
Its density of states at the Fermi level is 0.52 states/eV per atom. The magnetization comes out at 0.00 Bohr magnetons per cell. The calculation puts the raw formation energy at 4.44 eV/f.u.

Cell: 3.6583 3.6583 3.1278 Å, 90.00 90.00 90.00°
Last column: nearest neighbours and their distance in Å.
Atoms (fractional coordinates):
B (0.0000, 0.0000, 0.0000)  2 F 1.56
Pt (0.5000, 0.5000, 0.5000)  8 N 2.41, 4 F 2.59
N (0.0000, 0.5000, 0.0000)  2 B 1.83
N (0.5000, 0.0000, 0.0000)  2 B 1.83
F (0.0000, 0.0000, 0.5000)  2 B 1.56

=====

La2Tb5Nd12 | PBE | relaxed

Results
Its density of states at the Fermi level is 1.38 states/eV per atom. The magnetization comes out at 0.00 Bohr magnetons per cell. As for the formation energy from the elements: 0.118 eV/atom.

Cell: 9.6228 9.6228 8.0517 Å, 90.38 90.38 63.69°
Last column: nearest neighbours and their distance in Å.
Atoms (fractional coordinates):
La (0.2146, 0.7854, 0.0000)  8 Nd 3.58-3.81, 2 Tb 3.82
La (0.7854, 0.2146, 0.0000)  8 Nd 3.58-3.81, 2 Tb 3.82
Tb (0.0000, 0.0000, 0.5000)  4 Nd 3.39
Tb (0.2484, 0.2484, 0.4904)  5 Nd 3.25-3.50
Tb (0.3529, 0.3529, 0.9179)  9 Nd 3.36-3.68
Tb (0.6471, 0.6471, 0.0821)  9 Nd 3.36-3.68
Tb (0.7516, 0.7516, 0.5096)  5 Nd 3.25-3.50
Nd (0.0377, 0.5778, 0.2080)  4 Tb 3.50-3.70, 6 Nd 3.56-3.85, 1 La 3.58
Nd (0.1633, 0.1633, 0.1236)  2 Tb 3.25-3.53, 2 La 3.58, 4 Nd 3.58-3.63
Nd (0.1676, 0.6209, 0.6110)  4 Tb 3.39-3.71, 5 Nd 3.54-3.63, 1 La 3.62
Nd (0.3791, 0.8324, 0.3890)  4 Tb 3.39-3.71, 5 Nd 3.54-3.63, 1 La 3.62
Nd (0.4222, 0.9623, 0.7920)  4 Tb 3.50-3.70, 6 Nd 3.56-3.85, 1 La 3.58
Nd (0.4488, 0.4488, 0.2881)  3 Tb 3.36-3.67, 6 Nd 3.54-3.64
Nd (0.5512, 0.5512, 0.7119)  3 Tb 3.36-3.67, 6 Nd 3.54-3.64
Nd (0.5778, 0.0377, 0.2080)  4 Tb 3.50-3.70, 6 Nd 3.56-3.85, 1 La 3.58
Nd (0.6209, 0.1676, 0.6110)  4 Tb 3.39-3.71, 5 Nd 3.54-3.63, 1 La 3.62
Nd (0.8324, 0.3791, 0.3890)  4 Tb 3.39-3.71, 5 Nd 3.54-3.63, 1 La 3.62
Nd (0.8367, 0.8367, 0.8764)  2 Tb 3.25-3.53, 2 La 3.58, 4 Nd 3.58-3.63
Nd (0.9623, 0.4222, 0.7920)  4 Tb 3.50-3.70, 6 Nd 3.56-3.85, 1 La 3.58

=====

Sc2UFe2 | PBE | relaxed

Results
Its density of states at the Fermi level is 1.04 states/eV per atom. The magnetization comes out at 0.00 Bohr magnetons per cell. As for the formation energy from the elements: -0.192 eV/atom.

Cell: 5.6790 5.6790 6.6066 Å, 99.85 99.85 60.15°
Last column: nearest neighbours and their distance in Å.
Atoms (fractional coordinates):
Sc (0.0443, 0.2576, 0.1424)  4 Fe 2.74-2.80
Sc (0.2576, 0.0443, 0.6424)  4 Fe 2.74-2.80
Sc (0.7424, 0.9557, 0.3576)  4 Fe 2.74-2.80
Sc (0.9557, 0.7424, 0.8576)  4 Fe 2.74-2.80
U (0.4397, 0.5603, 0.2500)  4 Fe 2.32-2.42
U (0.5603, 0.4397, 0.7500)  4 Fe 2.32-2.42
Fe (0.2090, 0.4934, 0.4933)  2 U 2.32-2.42, 1 Fe 2.35
Fe (0.4934, 0.2090, 0.9933)  2 U 2.32-2.42, 1 Fe 2.35
Fe (0.5066, 0.7910, 0.0067)  2 U 2.32-2.42, 1 Fe 2.35
Fe (0.7910, 0.5066, 0.5067)  2 U 2.32-2.42, 1 Fe 2.35

=====

BaYZr2 | PBE | relaxed

Results
Its density of states at the Fermi level is 1.76 states/eV per atom. The magnetization comes out at 0.00 Bohr magnetons per cell. As for the formation energy from the elements: 0.829 eV/atom.

Cell: 11.9188 11.9188 11.9188 Å, 157.74 157.74 31.68°
Last column: nearest neighbours and their distance in Å.
Atoms (fractional coordinates):
Ba (0.0000, 0.0000, 0.0000)  4 Y 3.25, 4 Zr 3.31
Ba (0.7500, 0.2500, 0.5000)  4 Y 3.25, 4 Zr 3.31
Y (0.2500, 0.7500, 0.5000)  4 Ba 3.25, 4 Zr 3.28
Y (0.5000, 0.5000, 0.0000)  4 Ba 3.25, 4 Zr 3.28
Zr (0.1348, 0.1250, 0.5098)  4 Zr 3.19-3.32, 2 Y 3.28, 2 Ba 3.31
Zr (0.3750, 0.8652, 0.9902)  4 Zr 3.19-3.32, 2 Y 3.28, 2 Ba 3.31
Zr (0.6152, 0.6250, 0.4902)  4 Zr 3.19-3.32, 2 Y 3.28, 2 Ba 3.31
Zr (0.8750, 0.3848, 0.0098)  4 Zr 3.19-3.32, 2 Y 3.28, 2 Ba 3.31

=====

EuMgGaGe | PBE | relaxed

Results
Its density of states at the Fermi level is 0.65 states/eV per atom. The magnetization comes out at 6.84 Bohr magnetons per cell. As for the formation energy from the elements: -0.351 eV/atom.

Cell: 5.0198 5.0198 5.0198 Å, 60.00 60.00 60.00°
Last column: nearest neighbours and their distance in Å.
Atoms (fractional coordinates):
Eu (0.0000, 0.0000, 0.0000)  4 Ge 3.07, 4 Ga 3.07
Mg (0.5000, 0.5000, 0.5000)  4 Ge 3.07, 4 Ga 3.07
Ga (0.2500, 0.2500, 0.2500)  4 Mg 3.07, 4 Eu 3.07
Ge (0.7500, 0.7500, 0.7500)  4 Eu 3.07, 4 Mg 3.07

=====

Li4Pa3CuSe8 | PBE | relaxed

Results
Its density of states at the Fermi level is 1.13 states/eV per atom. The magnetization comes out at 4.02 Bohr magnetons per cell. The calculation puts the raw formation energy at -18.43 eV/f.u.

Cell: 7.9525 7.9525 8.0278 Å, 119.73 119.73 59.88°
Last column: nearest neighbours and their distance in Å.
Atoms (fractional coordinates):
Li (0.0000, 0.0000, 0.0000)  6 Se 2.86-2.87
Li (0.0000, 0.5000, 0.0000)  6 Se 2.75-2.80
Li (0.5000, 0.0000, 0.0000)  6 Se 2.75-2.80
Li (0.5000, 0.5000, 0.0000)  6 Se 2.76-2.79
Pa (0.0000, 0.0000, 0.5000)  6 Se 2.86-2.89
Pa (0.0000, 0.5000, 0.5000)  6 Se 2.86-2.89
Pa (0.5000, 0.0000, 0.5000)  6 Se 2.86-2.89
Cu (0.5000, 0.5000, 0.5000)  6 Se 2.77-2.80
Se (0.2527, 0.2527, 0.2466)  3 Li 2.79-2.86, 1 Cu 2.80, 2 Pa 2.86
Se (0.2547, 0.7398, 0.2485)  1 Cu 2.77, 3 Li 2.79-2.87, 2 Pa 2.86
Se (0.2557, 0.2557, 0.7677)  3 Li 2.75-2.76, 3 Pa 2.89
Se (0.2602, 0.7453, 0.7515)  1 Cu 2.77, 3 Li 2.79-2.87, 2 Pa 2.86
Se (0.7398, 0.2547, 0.2485)  1 Cu 2.77, 3 Li 2.79-2.87, 2 Pa 2.86
Se (0.7443, 0.7443, 0.2323)  3 Li 2.75-2.76, 3 Pa 2.89
Se (0.7453, 0.2602, 0.7515)  1 Cu 2.77, 3 Li 2.79-2.87, 2 Pa 2.86
Se (0.7473, 0.7473, 0.7534)  3 Li 2.79-2.86, 1 Cu 2.80, 2 Pa 2.86

=====

Sr2ZnTe | PBE | relaxed

Results
Its density of states at the Fermi level is 1.25 states/eV per atom. The magnetization comes out at 0.00 Bohr magnetons per cell. The calculation puts the raw formation energy at -2.57 eV/f.u.

Cell: 5.6985 5.6985 5.6985 Å, 60.00 60.00 60.00°
Last column: nearest neighbours and their distance in Å.
Atoms (fractional coordinates):
Sr (0.2500, 0.2500, 0.2500)  4 Te 3.49, 4 Zn 3.49
Sr (0.7500, 0.7500, 0.7500)  4 Te 3.49, 4 Zn 3.49
Zn (0.0000, 0.0000, 0.0000)  8 Sr 3.49
Te (0.5000, 0.5000, 0.5000)  8 Sr 3.49

=====

Ca2CuCl2O2 | PBE | relaxed

Results
Its density of states at the Fermi level is 0.16 states/eV per atom. The magnetization comes out at 0.00 Bohr magnetons per cell. The calculation puts the raw formation energy at -14.24 eV/f.u.

Cell: 8.2417 8.2417 8.2417 Å, 152.81 152.81 38.83°
Last column: nearest neighbours and their distance in Å.
Atoms (fractional coordinates):
Ca (0.1018, 0.1018, 0.0000)  4 O 2.50
Ca (0.8982, 0.8982, 0.0000)  4 O 2.50
Cu (0.5000, 0.5000, 0.0000)  4 O 1.94
Cl (0.3203, 0.3203, 0.0000)  1 Cu 2.79, 4 Ca 3.00
Cl (0.6797, 0.6797, 0.0000)  1 Cu 2.79, 4 Ca 3.00
O (0.0000, 0.5000, 0.5000)  2 Cu 1.94
O (0.5000, 0.0000, 0.5000)  2 Cu 1.94

=====

AsIrBr2 | PBE | relaxed

Results
The magnetization comes out at 0.00 Bohr magnetons per cell. The calculation puts the raw formation energy at -0.28 eV/f.u.

Cell: 8.5455 8.5455 8.5455 Å, 25.14 25.14 25.14°
Last column: nearest neighbours and their distance in Å.
Atoms (fractional coordinates):
As (0.0000, 0.0000, 0.0000)  3 Ir 2.41
Ir (0.7106, 0.7106, 0.7106)  3 As 2.41, 3 Br 2.69
Br (0.2478, 0.2478, 0.2478)  3 As 3.02
Br (0.4425, 0.4425, 0.4425)  3 Ir 2.69

=====

What is the magnetization in the first record?
0.00 Bohr magnetons per cell